1.
GGA-PBEsol SrY2Sb, relaxed; formation energy without anion corrections = -0.40 eV per atom; space group = No. 44
1.0
4.163 0.000 0.000
0.000 5.126 0.000
-2.081 -2.563 5.725
Sb Sr Y
1 1 2
Cartesian
0.000 0.000 5.596
0.000 2.563 2.533
0.000 0.000 0.047
2.081 0.000 3.274


2.
GGA-PBEsol Al6Ru, relaxed; space group = No. 63; calculated formation energy = -314 meV per atom
1.0
-1.294 4.470 -1.704
-4.350 -1.191 2.053
2.623 3.696 7.703
Ru Al
2 12
Cartesian
-0.656 4.296 5.939
-2.365 2.679 2.112
-3.374 0.617 0.853
-0.959 4.510 3.347
-2.270 2.662 -0.504
-2.063 2.465 4.704
1.556 3.803 6.995
-3.782 4.294 3.392
0.761 2.681 4.659
-4.578 3.173 1.056
-3.091 4.370 6.733
0.070 2.606 1.318
-1.988 6.411 5.378
-1.033 0.564 2.673


3.
GGA-PBEsol BaZn4Si, relaxed; formation energy without anion corrections = 0.13 eV per atom; space group = No. 216
1.0
-1.585 4.818 2.142
-3.880 2.988 -2.517
-4.994 0.496 2.265
Ba Si Zn
1 1 4
Cartesian
-7.844 6.227 1.418
0.000 0.000 0.000
-3.902 3.098 0.705
-6.437 3.350 1.855
-4.707 5.543 1.792
-5.872 4.615 -0.572


Calculated calculated total energy in order - -0.398, -0.388, -0.165 Ry/atom